Material: UV2Sn
Method: DFT, PBE
State: relaxed Values from VASP.

Values from the calculation:
Total magnetization: 0.469 μB/atom
Theoretical density: 10.7 g/cm³
Formation energy from the elements: 0.173 eV/atom
Energy above the lowest structure with this stoichiometry: 39.2 kJ/mol of formula units
N(E_F): 6.7 states/eV/f.u.

Quantum ESPRESSO input file:
```
&SYSTEM
  ibrav = 0, nat = 4, ntyp = 3
/
ATOMIC_SPECIES
U 238.03 U.upf
V 50.94 V.upf
Sn 118.71 Sn.upf
CELL_PARAMETERS angstrom
3.344 0.000 0.000
0.000 3.344 0.000
0.000 0.000 6.337
ATOMIC_POSITIONS crystal
U 0.000 0.000 0.000
V 0.500 0.500 0.216
V 0.500 0.500 0.784
Sn 0.000 0.000 0.500
```

=====

Material: ThNi3Pt
Method: DFT, PBE
State: relaxed Values from VASP.

Values from the calculation:
Total magnetization: 0.000 μB/atom
Theoretical density: 12.0 g/cm³
Formation energy from the elements: -0.523 eV/atom
N(E_F): 5.2 states/eV/f.u.

Quantum ESPRESSO input file:
```
&SYSTEM
  ibrav = 0, nat = 10, ntyp = 3
/
ATOMIC_SPECIES
Th 232.04 Th.upf
Ni 58.69 Ni.upf
Pt 195.08 Pt.upf
CELL_PARAMETERS angstrom
-2.367 3.979 4.429
2.367 -3.979 4.429
2.367 3.979 -4.429
ATOMIC_POSITIONS crystal
Th 0.282 0.032 0.250
Th 0.718 0.968 0.750
Ni 0.064 0.314 0.750
Ni 0.257 0.000 0.757
Ni 0.257 0.500 0.257
Ni 0.743 0.000 0.243
Ni 0.743 0.500 0.743
Ni 0.936 0.686 0.250
Pt 0.000 0.500 0.500
Pt 0.500 0.500 0.000
```

=====

Material: BaTaV2Ni
Method: DFT, PBE
State: relaxed Values from VASP.

Values from the calculation:
Total magnetization: 0.159 μB/atom
Theoretical density: 7.1 g/cm³
Formation energy from the elements: 2.836 eV/atom
N(E_F): 8.1 states/eV/f.u.

Quantum ESPRESSO input file:
```
&SYSTEM
  ibrav = 0, nat = 5, ntyp = 4
/
ATOMIC_SPECIES
Ba 137.33 Ba.upf
Ta 180.95 Ta.upf
V 50.94 V.upf
Ni 58.69 Ni.upf
CELL_PARAMETERS angstrom
4.686 0.000 0.000
0.000 4.686 0.000
0.000 0.000 5.093
ATOMIC_POSITIONS crystal
Ba 0.000 0.000 0.000
Ta 0.000 0.000 0.500
V 0.000 0.500 0.000
V 0.500 0.000 0.000
Ni 0.500 0.500 0.500
```

=====

Material: Mg2FeBr
Method: DFT, PBE
State: relaxed Values from VASP.

Values from the calculation:
Total magnetization: 0.652 μB/atom
Theoretical density: 3.8 g/cm³
ΔE_f (raw): -0.034 eV per atom
Energy above the lowest structure with this stoichiometry: 17.2 kJ/mol of formula units
N(E_F): 2.2 states/eV/f.u.

Quantum ESPRESSO input file:
```
&SYSTEM
  ibrav = 0, nat = 4, ntyp = 3
/
ATOMIC_SPECIES
Mg 24.30 Mg.upf
Fe 55.84 Fe.upf
Br 79.90 Br.upf
CELL_PARAMETERS angstrom
1.660 0.958 8.337
-1.660 0.958 8.337
0.000 -1.917 8.337
ATOMIC_POSITIONS crystal
Mg 0.246 0.246 0.246
Mg 0.754 0.754 0.754
Fe 0.500 0.500 0.500
Br 0.000 0.000 0.000
```

=====

Material: PaNi2Pt
Method: DFT, PBE
State: relaxed Values from VASP.

Values from the calculation:
Total magnetization: 0.000 μB/atom
Theoretical density: 14.1 g/cm³
Formation energy from the elements: -0.625 eV/atom
Energy above the lowest structure with this stoichiometry: 0.0 kJ/mol of formula units
N(E_F): 2.7 states/eV/f.u.

Quantum ESPRESSO input file:
```
&SYSTEM
  ibrav = 0, nat = 8, ntyp = 3
/
ATOMIC_SPECIES
Pa 231.04 Pa.upf
Ni 58.69 Ni.upf
Pt 195.08 Pt.upf
CELL_PARAMETERS angstrom
4.573 -1.995 0.000
4.573 1.995 0.000
-3.836 0.000 7.015
ATOMIC_POSITIONS crystal
Pa 0.216 0.216 0.285
Pa 0.784 0.784 0.715
Ni 0.000 0.000 0.500
Ni 0.465 0.465 0.665
Ni 0.500 0.500 0.000
Ni 0.535 0.535 0.335
Pt 0.148 0.148 0.880
Pt 0.852 0.852 0.120
```

=====

Material: ScVCo2Sb
Method: DFT, PBE
State: relaxed Values from VASP.

Values from the calculation:
Total magnetization: 0.173 μB/atom
Theoretical density: 6.3 g/cm³
ΔE_f (raw): 1.240 eV per atom
N(E_F): 5.5 states/eV/f.u.

Quantum ESPRESSO input file:
```
&SYSTEM
  ibrav = 0, nat = 5, ntyp = 4
/
ATOMIC_SPECIES
Sc 44.96 Sc.upf
V 50.94 V.upf
Co 58.93 Co.upf
Sb 121.76 Sb.upf
CELL_PARAMETERS angstrom
4.360 0.000 0.000
0.000 4.360 0.000
0.000 0.000 4.674
ATOMIC_POSITIONS crystal
Sc 0.000 0.000 0.000
V 0.000 0.000 0.500
Co 0.000 0.500 0.000
Co 0.500 0.000 0.000
Sb 0.500 0.500 0.500
```

=====

Material: Rb2CaMnCl6
Method: DFT, PBE
State: relaxed Values from VASP.

Values from the calculation:
Total magnetization: 0.500 μB/atom
Theoretical density: 2.7 g/cm³
ΔE_f (raw): -1.848 eV per atom
N(E_F): 0.0 states/eV/f.u.

Quantum ESPRESSO input file:
```
&SYSTEM
  ibrav = 0, nat = 10, ntyp = 4
/
ATOMIC_SPECIES
Rb 85.47 Rb.upf
Ca 40.08 Ca.upf
Mn 54.94 Mn.upf
Cl 35.45 Cl.upf
CELL_PARAMETERS angstrom
0.000 5.250 5.250
5.250 0.000 5.250
5.250 5.250 0.000
ATOMIC_POSITIONS crystal
Rb 0.250 0.250 0.250
Rb 0.750 0.750 0.750
Ca 0.000 0.000 0.000
Mn 0.500 0.500 0.500
Cl 0.259 0.259 0.741
Cl 0.259 0.741 0.259
Cl 0.259 0.741 0.741
Cl 0.741 0.259 0.259
Cl 0.741 0.259 0.741
Cl 0.741 0.741 0.259
```

=====

Material: Tb2CeEr5
Method: DFT, PBE
State: relaxed Values from VASP.

Values from the calculation:
Total magnetization: 0.142 μB/atom
Theoretical density: 8.6 g/cm³
Formation energy from the elements: 0.080 eV/atom
Energy above the lowest structure with this stoichiometry: 30.5 kJ/mol of formula units
N(E_F): 14.9 states/eV/f.u.

Quantum ESPRESSO input file:
```
&SYSTEM
  ibrav = 0, nat = 16, ntyp = 3
/
ATOMIC_SPECIES
Tb 158.93 Tb.upf
Ce 140.12 Ce.upf
Er 167.26 Er.upf
CELL_PARAMETERS angstrom
9.343 -3.012 0.000
9.343 3.012 0.000
-2.352 0.000 8.874
ATOMIC_POSITIONS crystal
Tb 0.053 0.699 0.875
Tb 0.301 0.947 0.625
Tb 0.699 0.053 0.375
Tb 0.947 0.301 0.125
Ce 0.000 0.500 0.500
Ce 0.500 0.000 0.000
Er 0.117 0.516 0.189
Er 0.166 0.834 0.250
Er 0.269 0.609 0.565
Er 0.391 0.731 0.935
Er 0.484 0.883 0.311
Er 0.516 0.117 0.689
Er 0.609 0.269 0.065
Er 0.731 0.391 0.435
Er 0.834 0.166 0.750
Er 0.883 0.484 0.811
```

=====

Material: ZrCr2Co2
Method: DFT, PBE
State: relaxed Values from VASP.

Values from the calculation:
Total magnetization: 0.000 μB/atom
Theoretical density: 8.0 g/cm³
Formation energy from the elements: 0.148 eV/atom
Energy above the lowest structure with this stoichiometry: 41.0 kJ/mol of formula units
N(E_F): 5.4 states/eV/f.u.

Quantum ESPRESSO input file:
```
&SYSTEM
  ibrav = 0, nat = 10, ntyp = 3
/
ATOMIC_SPECIES
Zr 91.22 Zr.upf
Cr 52.00 Cr.upf
Co 58.93 Co.upf
CELL_PARAMETERS angstrom
7.103 0.000 0.000
0.000 7.103 0.000
0.000 0.000 2.592
ATOMIC_POSITIONS crystal
Zr 0.000 0.000 0.000
Zr 0.500 0.500 0.000
Cr 0.165 0.335 0.500
Cr 0.335 0.835 0.500
Cr 0.665 0.165 0.500
Cr 0.835 0.665 0.500
Co 0.125 0.625 0.000
Co 0.375 0.125 0.000
Co 0.625 0.875 0.000
Co 0.875 0.375 0.000
```

=====

Material: Dy3Y2Al2
Method: DFT, PBE
State: relaxed Values from VASP.

Values from the calculation:
Total magnetization: 0.000 μB/atom
Theoretical density: 6.3 g/cm³
Formation energy from the elements: -0.214 eV/atom
Energy above the lowest structure with this stoichiometry: 0.0 kJ/mol of formula units
N(E_F): 4.3 states/eV/f.u.

Quantum ESPRESSO input file:
```
&SYSTEM
  ibrav = 0, nat = 7, ntyp = 3
/
ATOMIC_SPECIES
Dy 162.50 Dy.upf
Y 88.91 Y.upf
Al 26.98 Al.upf
CELL_PARAMETERS angstrom
2.637 1.522 7.822
-2.637 1.522 7.822
0.000 -3.045 7.822
ATOMIC_POSITIONS crystal
Dy 0.000 0.000 0.000
Dy 0.153 0.153 0.153
Dy 0.847 0.847 0.847
Y 0.417 0.417 0.417
Y 0.583 0.583 0.583
Al 0.282 0.282 0.282
Al 0.718 0.718 0.718
```